(1)
{
  "formula": "NpTeBr",
  "functional": "PBE-GGA",
  "state": "relaxed",
  "e_form_raw_ev_per_atom": -0.944,
  "m_tot_mub_per_cell": 8.00,
  "dft_energy_ev_per_atom": -6.862,
  "lattice_angstrom": [[4.3097, 0.0000, 0.0000], [0.0000, 6.1410, 0.0000], [0.0000, 0.0000, 8.7351]],
  "species": ["Np", "Np", "Te", "Te", "Br", "Br"],
  "frac_coords": [[0.0000, 0.5000, 0.8564], [0.5000, 0.0000, 0.1436], [0.0000, 0.0000, 0.8854], [0.5000, 0.5000, 0.1146], [0.5000, 0.5000, 0.6371], [0.0000, 0.0000, 0.3629]]
}

=====

(2)
{
  "formula": "BaLaMn2",
  "functional": "PBE-GGA",
  "state": "relaxed",
  "e_above_lowest_polymorph_kj_per_mol_atoms": 5.6,
  "m_tot_mub_per_cell": 6.06,
  "dft_energy_ev_per_atom": -5.805,
  "delta_e_f_ev_per_atom": 0.49,
  "lattice_angstrom": [[-2.7802, 2.9430, 2.1500], [-2.3026, 0.2754, -3.3545], [-4.8510, -4.9110, 0.4495]],
  "species": ["Mn", "Mn", "Ba", "La"],
  "frac_coords": [[0.5000, 0.0891, 0.1978], [0.0000, 0.1875, 0.9998], [0.0000, 0.4718, 0.4321], [0.5000, 0.7517, 0.8702]]
}

=====

(3)
{
  "formula": "Sn3HgF",
  "functional": "PBE-GGA",
  "state": "relaxed",
  "e_above_lowest_polymorph_kj_per_mol_atoms": 59.0,
  "e_form_raw_ev_per_atom": 0.313,
  "m_tot_mub_per_cell": 0.00,
  "dft_energy_ev_per_atom": -2.523,
  "lattice_angstrom": [[5.6062, 0.0000, 0.0000], [0.0000, 5.6062, 0.0000], [0.0000, 0.0000, 5.6062]],
  "species": ["Sn", "Sn", "Sn", "Hg", "F"],
  "frac_coords": [[0.0000, 0.5000, 0.0000], [0.0000, 0.0000, 0.5000], [0.5000, 0.0000, 0.0000], [0.0000, 0.0000, 0.0000], [0.5000, 0.5000, 0.5000]]
}

=====

(4)
{
  "formula": "Tb2Ga4NiGe2",
  "functional": "PBE-GGA",
  "state": "relaxed",
  "m_tot_mub_per_cell": 0.00,
  "dft_energy_ev_per_atom": -4.545,
  "delta_e_f_ev_per_atom": -0.50,
  "lattice_angstrom": [[-4.1031, 1.5137, -4.4516], [-1.8605, -2.3678, 5.4659], [3.0517, 4.3795, 3.2327]],
  "species": ["Ni", "Ga", "Ga", "Ga", "Ga", "Ge", "Ge", "Tb", "Tb"],
  "frac_coords": [[0.0000, 0.0000, 0.0000], [0.0000, 0.7204, 0.2796], [0.5592, 0.2796, 0.2796], [0.0000, 0.2796, 0.7204], [0.4408, 0.7204, 0.7204], [0.0000, 0.7288, 0.7288], [0.0000, 0.2712, 0.2712], [0.5000, 0.7500, 0.2500], [0.5000, 0.2500, 0.7500]]
}